Compound: Ca2RhC2
Source: Alexandria via LeMat-Bulk
Functional: PBE
Structure: relaxed

Lattice parameters (Å, degrees): 5.784 5.988 6.007 111.99 90.00 118.88
Sites, in units of the cell vectors:
Ca (0.459, 0.691, 0.764)
Ca (0.233, 0.691, 0.264)
Rh (0.938, 0.000, 0.250)
C (0.707, 0.832, 0.447)
C (0.125, 0.832, 0.947)
Rh (0.062, 0.000, 0.750)
C (0.875, 0.168, 0.053)
Ca (0.541, 0.309, 0.236)
C (0.293, 0.168, 0.553)
Ca (0.767, 0.309, 0.736)

## Properties
The theoretical density is 4176 kg/m³. Its density of states at the Fermi level is 4.146 states/eV per cell. The calculation puts the relative energy among the computed polymorphs at 0.1993 eV/atom. Its crystal system is monoclinic. Its space group is C2/c.



Compound: BeGa2B
Source: Alexandria via LeMat-Bulk
Functional: PBE
Structure: relaxed

Lattice parameters (Å, degrees): 5.774 5.774 5.513 58.42 58.42 90.00
Sites, in units of the cell vectors:
B (0.000, 0.000, 0.000)
Ga (0.087, 0.625, 0.250)
B (0.750, 0.250, 0.500)
Ga (0.875, 0.913, 0.750)
Ga (0.663, 0.125, 0.250)
Be (0.250, 0.750, 0.500)
Be (0.500, 0.500, 0.000)
Ga (0.375, 0.337, 0.750)

## Properties
The theoretical density is 4283 kg/m³. Its density of states at the Fermi level is 2.773 states/eV per cell. The calculation puts the relative energy among the computed polymorphs at 0.0000 eV/atom. Its crystal system is tetragonal. Its space group is I-42d.



For reference, calculated total energy by record: -5.6836, -3.3461 eV per atom.
For reference, formation enthalpy at 0 K by record: 277, 768 meV/atom.